# 1
! LiAlFe2 GGA-PBE relaxed; values from VASP
&SYSTEM
  ibrav = 0, nat = 4, ntyp = 3
/
ATOMIC_SPECIES
Al 26.98 Al.upf
Fe 55.84 Fe.upf
Li 6.94 Li.upf
ATOMIC_POSITIONS crystal
Al 0.750 0.750 0.750
Fe 0.003 0.003 0.003
Fe 0.497 0.497 0.497
Li 0.250 0.250 0.250
CELL_PARAMETERS angstrom
-8.678 1.583 0.836
-8.818 -0.540 -0.689
-8.616 -0.805 1.907
! - V (A^3/atom) = 12.96
! - magnetic moment (μB per formula unit) = 4.28
! - SG = No. 166
! - total DFT energy (no corrections) (eV/atom) = -5.57

# 2
! Li2AlFe GGA-PBE relaxed; values from VASP
&SYSTEM
  ibrav = 0, nat = 4, ntyp = 3
/
ATOMIC_SPECIES
Al 26.98 Al.upf
Fe 55.84 Fe.upf
Li 6.94 Li.upf
ATOMIC_POSITIONS crystal
Al 0.500 0.500 0.250
Fe 0.500 0.500 0.750
Li 0.000 0.000 0.991
Li 0.000 0.000 0.509
CELL_PARAMETERS angstrom
-0.287 -1.678 1.950
2.417 0.924 -0.064
-2.477 6.862 5.542
! - V (A^3/atom) = 14.35
! - magnetic moment (μB per formula unit) = 2.39
! - SG = No. 65
! - total DFT energy (no corrections) (eV/atom) = -3.88

# 3
! LiAlFe2 GGA-PBE relaxed; values from VASP
&SYSTEM
  ibrav = 0, nat = 4, ntyp = 3
/
ATOMIC_SPECIES
Al 26.98 Al.upf
Fe 55.84 Fe.upf
Li 6.94 Li.upf
ATOMIC_POSITIONS crystal
Al 0.500 0.750 0.750
Fe 0.000 0.006 0.994
Fe 0.000 0.494 0.506
Li 0.500 0.250 0.250
CELL_PARAMETERS angstrom
-1.908 -2.749 -1.998
2.116 -0.521 -1.304
3.370 -3.940 2.203
! - V (A^3/atom) = 12.50
! - magnetic moment (μB per formula unit) = 4.42
! - SG = No. 10
! - total DFT energy (no corrections) (eV/atom) = -5.64

# 4
! Li2AlFe GGA-PBE relaxed; values from VASP
&SYSTEM
  ibrav = 0, nat = 4, ntyp = 3
/
ATOMIC_SPECIES
Al 26.98 Al.upf
Fe 55.84 Fe.upf
Li 6.94 Li.upf
ATOMIC_POSITIONS crystal
Al 0.750 0.250 0.500
Fe 0.250 0.750 0.500
Li 0.008 0.008 0.000
Li 0.492 0.492 0.000
CELL_PARAMETERS angstrom
-4.225 -3.217 0.261
-1.169 -2.899 4.301
0.776 4.715 -2.331
! - V (A^3/atom) = 13.58
! - magnetic moment (μB per formula unit) = 1.47
! - SG = No. 71
! - total DFT energy (no corrections) (eV/atom) = -4.01

# 5
! LiAl2Fe GGA-PBE relaxed; values from VASP
&SYSTEM
  ibrav = 0, nat = 4, ntyp = 3
/
ATOMIC_SPECIES
Li 6.94 Li.upf
Fe 55.84 Fe.upf
Al 26.98 Al.upf
ATOMIC_POSITIONS crystal
Li 0.000 0.500 0.500
Fe 0.500 0.000 0.500
Al 0.000 0.000 0.000
Al 0.500 0.500 0.000
CELL_PARAMETERS angstrom
-3.934 0.540 -1.294
1.227 -0.523 -3.958
-0.466 -2.849 0.233
! - V (A^3/atom) = 12.63
! - magnetic moment (μB per formula unit) = 0.00
! - SG = No. 123
! - total DFT energy (no corrections) (eV/atom) = -4.68

# 6
! LiAl3Fe GGA-PBE relaxed; values from VASP
&SYSTEM
  ibrav = 0, nat = 10, ntyp = 3
/
ATOMIC_SPECIES
Li 6.94 Li.upf
Al 26.98 Al.upf
Fe 55.84 Fe.upf
ATOMIC_POSITIONS crystal
Li 0.681 0.170 0.588
Li 0.186 0.673 0.597
Al 0.791 0.742 0.806
Al 0.576 0.603 0.378
Al 0.396 0.661 0.016
Al 0.291 0.238 0.807
Al 0.472 0.181 0.169
Al 0.077 0.100 0.379
Fe 0.987 0.692 0.199
Fe 0.880 0.150 0.986
CELL_PARAMETERS angstrom
2.969 0.002 -0.500
-0.021 4.300 -0.122
0.322 -0.267 10.936
! - energy relative to the lowest polymorph listed for this composition (meV/atom) = 0.0
! - V (A^3/atom) = 14.02
! - magnetic moment (μB per formula unit) = 0.00
! - SG = No. 8

Among the records above, which one has the highest V? number 2